(1)
# Tl2GeSb

A relaxed Tl2GeSb crystal (GGA-PBEsol, Alexandria via LeMat-Bulk).

a = 5.250 Å, b = 5.250 Å, c = 5.250 Å
α = 60.00°, β = 60.00°, γ = 60.00°
Element x y z (fractional)
Ge  0.000  0.000  0.000
Tl  0.250  0.250  0.250
Tl  0.750  0.750  0.750
Sb  0.500  0.500  0.500

As for the density of states at the Fermi level: 0.57 states/eV/atom. The calculation puts the electronic total energy at -3.453 eV/atom. As for the formation energy without anion corrections: 0.24 eV/atom. Its size of the total moment is 0.0 μB per formula unit.

(2)
# AlAg2Os

A relaxed AlAg2Os crystal (GGA-PBEsol, Alexandria via LeMat-Bulk).

a = 2.848 Å, b = 4.468 Å, c = 5.443 Å
α = 114.23°, β = 105.17°, γ = 90.00°
Element x y z (fractional)
Ag  0.239  0.239  0.477
Ag  0.761  0.761  0.523
Al  0.500  0.000  0.000
Os  0.000  0.500  0.000

As for the density of states at the Fermi level: 0.54 states/eV/atom. The calculation puts the electronic total energy at -5.532 eV/atom. Its size of the total moment is 0.0 μB per formula unit. Its formation energy from the elements is 19.4 kJ/mol of atoms.

(3)
# TiSeBr2O

A relaxed TiSeBr2O crystal (GGA-PBEsol, Alexandria via LeMat-Bulk).

a = 4.198 Å, b = 4.727 Å, c = 4.727 Å
α = 90.00°, β = 90.00°, γ = 90.00°
Element x y z (fractional)
Ti  0.500  0.500  0.500
Br  0.000  0.500  0.000
Br  0.000  0.000  0.500
O  0.000  0.000  0.000
Se  0.500  0.000  0.000

As for the density of states at the Fermi level: 1.03 states/eV/atom. The calculation puts the electronic total energy at -3.942 eV/atom. As for the formation energy without anion corrections: 0.29 eV/atom. Its size of the total moment is 1.7 μB per formula unit.

(4)
# La2Os

A relaxed La2Os crystal (GGA-PBEsol, Alexandria via LeMat-Bulk).

a = 4.189 Å, b = 4.189 Å, c = 6.228 Å
α = 90.00°, β = 90.00°, γ = 120.00°
Element x y z (fractional)
Os  0.000  0.000  0.000
La  0.333  0.667  0.768
La  0.667  0.333  0.232

As for the density of states at the Fermi level: 0.39 states/eV/atom. The calculation puts the electronic total energy at -7.640 eV/atom. Its size of the total moment is 0.0 μB per formula unit. Its formation energy from the elements is -0.4 kJ/mol of atoms.

(5)
# RbSiSnH2

A relaxed RbSiSnH2 crystal (GGA-PBEsol, Alexandria via LeMat-Bulk).

a = 4.490 Å, b = 4.490 Å, c = 5.080 Å
α = 90.00°, β = 90.00°, γ = 90.00°
Element x y z (fractional)
Si  0.000  0.000  0.000
Sn  0.000  0.000  0.500
Rb  0.500  0.500  0.500
H  0.000  0.500  0.000
H  0.500  0.000  0.000

As for the density of states at the Fermi level: 0.65 states/eV/atom. The calculation puts the electronic total energy at -2.877 eV/atom. Its size of the total moment is 0.0 μB per formula unit.

(6)
# AlHPd3

A relaxed AlHPd3 crystal (GGA-PBEsol, Alexandria via LeMat-Bulk).

a = 3.905 Å, b = 3.905 Å, c = 3.905 Å
α = 90.00°, β = 90.00°, γ = 90.00°
Element x y z (fractional)
Al  0.500  0.500  0.500
Pd  0.000  0.500  0.000
Pd  0.000  0.000  0.500
Pd  0.500  0.000  0.000
H  0.000  0.000  0.000

As for the density of states at the Fermi level: 0.09 states/eV/atom. The calculation puts the electronic total energy at -5.655 eV/atom. Its size of the total moment is 0.0 μB per formula unit.

(7)
# Ta2IrW

A relaxed Ta2IrW crystal (GGA-PBEsol, Alexandria via LeMat-Bulk).

a = 3.305 Å, b = 4.423 Å, c = 4.423 Å
α = 90.00°, β = 90.00°, γ = 90.00°
Element x y z (fractional)
Ta  0.000  0.500  0.000
Ta  0.000  0.000  0.500
Ir  0.500  0.000  0.000
W  0.500  0.500  0.500

As for the density of states at the Fermi level: 0.56 states/eV/atom. The calculation puts the electronic total energy at -12.502 eV/atom. Its size of the total moment is 0.0 μB per formula unit. Its formation energy from the elements is -30.7 kJ/mol of atoms.

(8)
# AgTe2PtC

A relaxed AgTe2PtC crystal (GGA-PBEsol, Alexandria via LeMat-Bulk).

a = 3.695 Å, b = 5.529 Å, c = 5.529 Å
α = 90.00°, β = 90.00°, γ = 90.00°
Element x y z (fractional)
Ag  0.500  0.500  0.500
Te  0.000  0.000  0.500
Te  0.000  0.500  0.000
Pt  0.000  0.000  0.000
C  0.500  0.000  0.000

As for the density of states at the Fermi level: 0.66 states/eV/atom. The calculation puts the electronic total energy at -4.692 eV/atom. As for the formation energy without anion corrections: 0.70 eV/atom. Its size of the total moment is 0.0 μB per formula unit.